Entry 1:
Density functional theory data (GGA-PBE) for an optimized crystal structure of Ca2BiPb6.

Properties
* magnetic moment: 0.000 μB per formula unit
* final energy: -3.59 eV/atom

a = 8.5158 Å, b = 8.5158 Å, c = 7.6455 Å
α = 109.63°, β = 109.63°, γ = 32.70°
Last column: nearest neighbours and their distance in Å.
Fractional positions:
Ca1 0.0575 0.0575 0.3132  2 Bi 3.28, 9 Pb 3.44-3.60
Ca2 0.9425 0.9425 0.6868  2 Bi 3.28, 9 Pb 3.44-3.60
Bi1 0.5000 0.5000 0.0000  4 Ca 3.28, 2 Pb 3.56
Pb1 0.1682 0.1682 0.9816  7 Pb 3.35-3.54, 2 Ca 3.59, 2 Bi 3.69
Pb2 0.2753 0.2753 0.6555  6 Pb 3.27-3.62, 3 Ca 3.58-3.60
Pb3 0.3984 0.3984 0.3430  6 Pb 3.35-3.72, 4 Ca 3.44-3.60, 1 Bi 3.56
Pb4 0.6016 0.6016 0.6570  6 Pb 3.35-3.72, 4 Ca 3.44-3.60, 1 Bi 3.56
Pb5 0.7247 0.7247 0.3445  6 Pb 3.27-3.62, 3 Ca 3.58-3.60
Pb6 0.8318 0.8318 0.0184  7 Pb 3.35-3.54, 2 Ca 3.59, 2 Bi 3.69

---

Entry 2:
Density functional theory data (GGA-PBE) for an optimized crystal structure of CaBi2Pb.

Properties
* magnetic moment: 0.000 μB per formula unit
* final energy: -3.43 eV/atom

a = 8.2215 Å, b = 8.2215 Å, c = 8.2215 Å
α = 124.76°, β = 124.76°, γ = 81.93°
Last column: nearest neighbours and their distance in Å.
Fractional positions:
Ca1 0.0000 0.0000 0.0000  4 Bi 3.21
Ca2 0.7500 0.2500 0.5000  4 Bi 3.21
Bi1 0.1465 0.6250 0.0215  2 Pb 3.01, 2 Ca 3.21
Bi2 0.3750 0.3965 0.5215  2 Pb 3.01, 2 Ca 3.21
Bi3 0.6035 0.1250 0.9785  2 Pb 3.01, 2 Ca 3.21
Bi4 0.8750 0.8535 0.4785  2 Pb 3.01, 2 Ca 3.21
Pb1 0.2500 0.7500 0.5000  4 Bi 3.01
Pb2 0.5000 0.5000 0.0000  4 Bi 3.01

---

Computed calculated formation energy (meV per atom) in order:
-245; -65